No. 1
Here is a relaxed structure of RbIn3F10 from Alexandria. Energies are from PBEsol.

Total energy: -4.678 eV/atom
Symmetry: Pmma (51)
Density of states at the Fermi level: 0.00 states/eV/f.u.
ρ: 4.97 g/cm3
Volume: 14.79 Å³/atom
Formation energy (no corrections): -2.5893 eV/atom

The structure in extended XYZ format:
```
28
Lattice="8.028 0.000 0.000 0.000 7.828 0.000 0.000 0.000 6.590" Properties=species:S:1:pos:R:3 pbc="T T T"
Rb 2.007 0.000 0.106
Rb 6.021 0.000 6.484
In 0.000 1.788 3.295
In 0.000 3.914 0.000
In 0.000 6.039 3.295
In 4.014 1.788 3.295
In 4.014 3.914 0.000
In 4.014 6.039 3.295
F 0.000 3.914 3.295
F 0.215 0.000 4.507
F 0.502 2.352 5.315
F 0.502 5.476 5.315
F 2.007 1.690 2.713
F 2.007 3.914 0.651
F 2.007 6.138 2.713
F 3.511 2.352 5.315
F 3.511 5.476 5.315
F 3.799 0.000 4.507
F 4.014 3.914 3.295
F 4.228 0.000 2.083
F 4.516 2.352 1.275
F 4.516 5.476 1.275
F 6.021 1.690 3.877
F 6.021 3.914 5.940
F 6.021 6.138 3.877
F 7.525 2.352 1.275
F 7.525 5.476 1.275
F 7.813 0.000 2.083
```

No. 2
Here is a relaxed structure of Rb2In3F11 from Alexandria. Energies are from PBEsol.

Total energy: -4.650 eV/atom
Symmetry: P2_1/m (11)
Density of states at the Fermi level: 0.00 states/eV/f.u.
ρ: 4.73 g/cm3
Volume: 15.90 Å³/atom
Formation energy (no corrections): -2.6378 eV/atom

The structure in extended XYZ format:
```
32
Lattice="6.633 0.000 0.000 0.000 8.106 0.000 -3.132 0.000 9.463" Properties=species:S:1:pos:R:3 pbc="T T T"
Rb -0.126 2.026 1.941
Rb 0.110 6.079 1.721
Rb 3.391 2.026 7.742
Rb 3.627 6.079 7.522
In 0.097 0.025 5.348
In 0.097 4.028 5.348
In 3.316 0.000 0.000
In 3.316 4.053 0.000
In 3.404 4.078 4.114
In 3.404 8.080 4.114
F -1.163 4.280 3.581
F -1.163 7.879 3.581
F 1.325 0.368 0.188
F 1.325 3.685 0.188
F 0.092 2.026 4.759
F 0.058 6.079 5.772
F 1.346 4.279 3.580
F 1.346 7.880 3.580
F 0.074 0.480 7.429
F 0.074 3.573 7.429
F -0.376 6.079 9.040
F 3.877 2.026 0.422
F 3.427 4.532 2.033
F 3.427 7.626 2.033
F 2.156 0.226 5.883
F 2.156 3.827 5.883
F 3.443 2.026 3.691
F 3.409 6.079 4.704
F 2.176 4.420 9.275
F 2.176 7.738 9.275
F 4.664 0.227 5.882
F 4.664 3.826 5.882
```

No. 3
Here is a relaxed structure of RbInRhF2 from Alexandria. Energies are from PBEsol.

Total energy: -3.460 eV/atom
Symmetry: P4/mmm (123)
Density of states at the Fermi level: 4.42 states/eV/f.u.
ρ: 4.02 g/cm3
Volume: 28.22 Å³/atom
Formation energy (no corrections): -0.2595 eV/atom

The structure in extended XYZ format:
```
5
Lattice="4.298 0.000 0.000 0.000 4.298 0.000 0.000 0.000 7.638" Properties=species:S:1:pos:R:3 pbc="T T T"
Rb 0.000 0.000 0.000
In 0.000 0.000 3.819
Rh 2.149 2.149 0.000
F 0.000 2.149 3.819
F 2.149 0.000 3.819
```

No. 4
Here is a relaxed structure of Rb2YInF6 from Alexandria. Energies are from PBEsol.

Total energy: -5.377 eV/atom
Symmetry: Fm-3m (225)
Density of states at the Fermi level: 0.00 states/eV/f.u.
ρ: 3.90 g/cm3
Volume: 20.80 Å³/atom
Formation energy (no corrections): -3.0348 eV/atom

The structure in extended XYZ format:
```
10
Lattice="0.000 4.703 4.703 4.703 0.000 4.703 4.703 4.703 0.000" Properties=species:S:1:pos:R:3 pbc="T T T"
Rb 2.351 2.351 2.351
Rb 7.054 7.054 7.054
Y 0.000 0.000 0.000
In 4.703 4.703 4.703
F 4.703 4.703 2.151
F 4.703 2.151 4.703
F 7.255 4.703 4.703
F 2.151 4.703 4.703
F 4.703 7.255 4.703
F 4.703 4.703 7.255
```

No. 5
Here is a relaxed structure of InReF3 from Alexandria. Energies are from PBEsol.

Total energy: -5.211 eV/atom
Symmetry: Pm-3m (221)
Density of states at the Fermi level: 3.80 states/eV/f.u.
ρ: 8.05 g/cm3
Volume: 14.78 Å³/atom
Formation energy (no corrections): -0.7919 eV/atom

The structure in extended XYZ format:
```
5
Lattice="4.196 0.000 0.000 0.000 4.196 0.000 0.000 0.000 4.196" Properties=species:S:1:pos:R:3 pbc="T T T"
In 0.000 0.000 0.000
Re 2.098 2.098 2.098
F 0.000 2.098 2.098
F 2.098 0.000 2.098
F 2.098 2.098 0.000
```

No. 6
Here is a relaxed structure of In3ReF from Alexandria. Energies are from PBEsol.

Total energy: -4.614 eV/atom
Symmetry: Pm-3m (221)
Density of states at the Fermi level: 4.89 states/eV/f.u.
ρ: 6.74 g/cm3
Volume: 27.06 Å³/atom
Formation energy (no corrections): 0.2273 eV/atom

The structure in extended XYZ format:
```
5
Lattice="5.134 0.000 0.000 0.000 5.134 0.000 0.000 0.000 5.134" Properties=species:S:1:pos:R:3 pbc="T T T"
In 0.000 0.000 2.567
In 0.000 2.567 0.000
In 2.567 0.000 0.000
Re 0.000 0.000 0.000
F 2.567 2.567 2.567
```

No. 7
Here is a relaxed structure of In2ReF from Alexandria. Energies are from PBEsol.

Total energy: -5.102 eV/atom
Symmetry: Fm-3m (225)
Density of states at the Fermi level: 1.80 states/eV/f.u.
ρ: 10.21 g/cm3
Volume: 17.68 Å³/atom
Formation energy (no corrections): 0.2047 eV/atom

The structure in extended XYZ format:
```
16
Lattice="6.564 0.000 0.000 0.000 6.564 0.000 0.000 0.000 6.564" Properties=species:S:1:pos:R:3 pbc="T T T"
In 1.641 1.641 1.641
In 1.641 1.641 4.923
In 1.641 4.923 1.641
In 1.641 4.923 4.923
In 4.923 1.641 1.641
In 4.923 1.641 4.923
In 4.923 4.923 1.641
In 4.923 4.923 4.923
Re 0.000 0.000 0.000
Re 0.000 3.282 3.282
Re 3.282 0.000 3.282
Re 3.282 3.282 0.000
F 0.000 0.000 3.282
F 0.000 3.282 0.000
F 3.282 0.000 0.000
F 3.282 3.282 3.282
```

No. 8
Here is a relaxed structure of TiIn2ReF from Alexandria. Energies are from PBEsol.

Total energy: -5.501 eV/atom
Symmetry: P4/mmm (123)
Density of states at the Fermi level: 4.03 states/eV/f.u.
ρ: 8.07 g/cm3
Volume: 19.86 Å³/atom
Formation energy (no corrections): 0.4081 eV/atom

The structure in extended XYZ format:
```
5
Lattice="5.264 0.000 0.000 0.000 5.264 0.000 0.000 0.000 3.584" Properties=species:S:1:pos:R:3 pbc="T T T"
Ti 0.000 0.000 0.000
In 0.000 2.632 0.000
In 2.632 0.000 0.000
Re 2.632 2.632 1.792
F 0.000 0.000 1.792
```

No. 9
Here is a relaxed structure of InRe2WF from Alexandria. Energies are from PBEsol.

Total energy: -5.774 eV/atom
Symmetry: P4/mmm (123)
Density of states at the Fermi level: 5.34 states/eV/f.u.
ρ: 9.26 g/cm3
Volume: 24.76 Å³/atom
Formation energy (no corrections): 3.3028 eV/atom

The structure in extended XYZ format:
```
5
Lattice="4.951 0.000 0.000 0.000 4.951 0.000 0.000 0.000 5.050" Properties=species:S:1:pos:R:3 pbc="T T T"
In 0.000 0.000 0.000
Re 0.000 2.475 0.000
Re 2.475 0.000 0.000
W 0.000 0.000 2.525
F 2.475 2.475 2.525
```

No. 10
Here is a relaxed structure of InRh3F from Alexandria. Energies are from PBEsol.

Total energy: -5.420 eV/atom
Symmetry: Pm-3m (221)
Density of states at the Fermi level: 7.62 states/eV/f.u.
ρ: 9.80 g/cm3
Volume: 14.99 Å³/atom
Formation energy (no corrections): 0.4448 eV/atom

The structure in extended XYZ format:
```
5
Lattice="4.216 0.000 0.000 0.000 4.216 0.000 0.000 0.000 4.216" Properties=species:S:1:pos:R:3 pbc="T T T"
In 0.000 0.000 0.000
Rh 0.000 2.108 2.108
Rh 2.108 0.000 2.108
Rh 2.108 2.108 0.000
F 2.108 2.108 2.108
```

No. 11
Here is a relaxed structure of InRu3F from Alexandria. Energies are from PBEsol.

Total energy: -6.245 eV/atom
Symmetry: Pm-3m (221)
Density of states at the Fermi level: 6.06 states/eV/f.u.
ρ: 10.01 g/cm3
Volume: 14.50 Å³/atom
Formation energy (no corrections): 0.8410 eV/atom

The structure in extended XYZ format:
```
5
Lattice="4.169 0.000 0.000 0.000 4.169 0.000 0.000 0.000 4.169" Properties=species:S:1:pos:R:3 pbc="T T T"
In 0.000 0.000 0.000
Ru 0.000 2.085 2.085
Ru 2.085 0.000 2.085
Ru 2.085 2.085 0.000
F 2.085 2.085 2.085
```

No. 12
Here is a relaxed structure of InS3F from Alexandria. Energies are from PBEsol.

Total energy: -3.166 eV/atom
Symmetry: Pm-3m (221)
Density of states at the Fermi level: 2.83 states/eV/f.u.
ρ: 4.36 g/cm3
Volume: 17.53 Å³/atom
Formation energy (no corrections): 0.4467 eV/atom

The structure in extended XYZ format:
```
5
Lattice="4.442 0.000 0.000 0.000 4.442 0.000 0.000 0.000 4.442" Properties=species:S:1:pos:R:3 pbc="T T T"
In 0.000 0.000 0.000
S 0.000 2.221 2.221
S 2.221 0.000 2.221
S 2.221 2.221 0.000
F 2.221 2.221 2.221
```

What did the sixth record say?
Here is a relaxed structure of In3ReF from Alexandria. Energies are from PBEsol.

Total energy: -4.614 eV/atom
Symmetry: Pm-3m (221)
Density of states at the Fermi level: 4.89 states/eV/f.u.
ρ: 6.74 g/cm3
Volume: 27.06 Å³/atom
Formation energy (no corrections): 0.2273 eV/atom

The structure in extended XYZ format:
```
5
Lattice="5.134 0.000 0.000 0.000 5.134 0.000 0.000 0.000 5.134" Properties=species:S:1:pos:R:3 pbc="T T T"
In 0.000 0.000 2.567
In 0.000 2.567 0.000
In 2.567 0.000 0.000
Re 0.000 0.000 0.000
F 2.567 2.567 2.567
```